No. 1
First-principles (GGA-PBE) data for Nd2CoNiH6 after structural relaxation, as listed in the Alexandria database.

a b c (Å): 7.1707 7.2585 7.2744
angles (deg): 90.00 90.00 90.00
Space group Fmmm (No. 69)
Inequivalent atoms, fractional coordinates:
Nd 0.2500 0.2500 0.2500
Co 0.0000 0.0000 0.0000
Ni 0.0000 0.0000 0.5000
H 0.0000 0.0000 0.2411
H 0.0000 0.2413 0.0000
H 0.2430 0.0000 0.0000

Calculated values
**Final energy**: -4.688 eV per atom
**DOS at the Fermi energy**: 19.06 states/eV/cell

No. 2
First-principles (GGA-PBE) data for NdCoNiH6 after structural relaxation, as listed in the Alexandria database.

a b c (Å): 4.4543 4.4543 4.2159
angles (deg): 90.00 90.00 120.00
Space group P-6m2 (No. 187)
Inequivalent atoms, fractional coordinates:
Nd 0.0000 0.0000 0.0000
Co 0.3333 0.6667 0.5000
Ni 0.6667 0.3333 0.5000
H 0.0095 0.5047 0.2572

Calculated values
**Final energy**: -4.555 eV per atom
**DOS at the Fermi energy**: 5.10 states/eV/cell

No. 3
First-principles (GGA-PBE) data for NdCoNi2H8 after structural relaxation, as listed in the Alexandria database.

a b c (Å): 4.4177 4.4177 16.0595
angles (deg): 90.00 90.00 120.00
Space group R-3 (No. 148, hexagonal axes)
Inequivalent atoms, fractional coordinates:
Nd 0.0000 0.0000 0.0000
Co 0.0000 0.0000 0.5000
Ni 0.0000 0.0000 0.2065
H 0.0000 0.0000 0.3058
H 0.0042 0.6299 0.7856

Calculated values
**Final energy**: -4.388 eV per atom
**DOS at the Fermi energy**: 14.05 states/eV/cell